Density functional theory data (PBE-GGA) for a relaxed AlAs5 crystal.

Unit cell a=5.4588 b=5.4588 c=4.9815 alpha=90.00 beta=90.00 gamma=120.00
Sites, in units of the cell vectors:
1 Al 0.0000 0.0000 0.0000
2 As 0.0000 0.5000 0.5000
3 As 0.3333 0.6667 0.0000
4 As 0.5000 0.0000 0.5000
5 As 0.5000 0.5000 0.5000
6 As 0.6667 0.3333 0.0000

Calculated values
energy above the lowest structure with this stoichiometry: 241 kJ/mol of formula units
size of the total moment: 0.00 μB/cell
raw total energy: -24.0 eV for the cell shown
symmetry: P6/mmm (191)
theoretical density: 5.19 Mg/m³

---

Density functional theory data (PBE-GGA) for a relaxed GaAu3N crystal.

Unit cell a=4.4856 b=4.4856 c=4.4856 alpha=90.00 beta=90.00 gamma=90.00
Sites, in units of the cell vectors:
1 Ga 0.0000 0.0000 0.0000
2 Au 0.0000 0.5000 0.5000
3 Au 0.5000 0.0000 0.5000
4 Au 0.5000 0.5000 0.0000
5 N 0.5000 0.5000 0.5000

Calculated values
energy above the lowest structure with this stoichiometry: 0 kJ/mol of formula units
size of the total moment: 0.00 μB/cell
raw total energy: -17.8 eV for the cell shown
symmetry: Pm-3m (221)
theoretical density: 12.41 Mg/m³
formation energy (no corrections): 0.676 eV/atom

---

Density functional theory data (PBE-GGA) for a relaxed PmErBe2Si2 crystal.

Unit cell a=3.8902 b=3.8902 c=8.1815 alpha=90.00 beta=90.00 gamma=120.00
Sites, in units of the cell vectors:
1 Pm 0.0000 0.0000 0.0000
2 Er 0.0000 0.0000 0.5000
3 Be 0.3333 0.6667 0.7416
4 Be 0.6667 0.3333 0.2584
5 Si 0.3333 0.6667 0.2590
6 Si 0.6667 0.3333 0.7410

Calculated values
size of the total moment: 0.00 μB/cell
raw total energy: -31.4 eV for the cell shown
symmetry: P-3m1 (164)
theoretical density: 5.98 Mg/m³
formation energy (no corrections): -0.638 eV/atom

---

Density functional theory data (PBE-GGA) for a relaxed SrCdSe crystal.

Unit cell a=5.3138 b=5.3138 c=5.3138 alpha=60.00 beta=60.00 gamma=60.00
Sites, in units of the cell vectors:
1 Sr 0.0000 0.0000 0.0000
2 Cd 0.5000 0.5000 0.5000
3 Se 0.7500 0.7500 0.7500

Calculated values
energy above the lowest structure with this stoichiometry: 90 kJ/mol of formula units
size of the total moment: 0.00 μB/cell
raw total energy: -8.5 eV for the cell shown
symmetry: F-43m (216)
theoretical density: 4.37 Mg/m³
formation energy (no corrections): -0.799 eV/atom